Entry 1:
A plane-wave DFT calculation with GGA-PBE was carried out for an optimized crystal structure of BaHo4TmSe8.

```
BaHo4TmSe8
1.0
-5.115 6.275 -2.831
-8.519 -0.863 0.488
-4.477 4.718 5.553
Tm Ba Ho Se
1 1 4 8
direct
0.001 0.001 0.996
0.376 0.376 0.872
0.002 0.495 0.502
0.002 0.002 0.502
0.495 0.002 0.502
0.625 0.625 0.126
0.758 0.758 0.255
0.757 0.757 0.729
0.231 0.803 0.735
0.233 0.233 0.302
0.803 0.231 0.735
0.228 0.758 0.255
0.758 0.228 0.255
0.231 0.231 0.735
```

Uncorrected energy = -5.514 eV/atom
Space-group type = R3m, No. 160

***

Entry 2:
A plane-wave DFT calculation with GGA-PBE was carried out for an optimized crystal structure of ScRuSe2Br.

```
ScRuSe2Br
1.0
-1.066 -4.963 0.894
3.372 -1.381 -3.645
3.751 -0.169 3.533
Se Br Ru Sc
2 1 1 1
direct
0.500 0.000 0.000
0.000 0.500 0.000
0.000 0.000 0.500
0.500 0.500 0.500
0.000 0.000 0.000
```

Distance to the lowest polymorph of the same formula = 0.178 eV/atom
Space-group type = P4/mmm, No. 123

***

Entry 3:
A plane-wave DFT calculation with GGA-PBE was carried out for an optimized crystal structure of Zr2TcHPt.

```
Zr2TcHPt
1.0
-4.264 1.568 -0.183
-1.477 -3.776 2.058
0.449 1.601 3.260
Pt Zr Tc H
1 2 1 1
direct
0.500 0.500 0.500
0.500 0.000 0.000
0.000 0.500 0.000
0.000 0.000 0.500
0.000 0.000 0.000
```

Distance to the lowest polymorph of the same formula = 0.000 eV/atom
Space-group type = P4/mmm, No. 123

***

Entry 4:
A plane-wave DFT calculation with GGA-PBE was carried out for an optimized crystal structure of BeHgW2.

```
BeHgW2
1.0
4.822 -0.003 -0.001
4.049 2.620 -0.001
0.277 0.082 5.153
Be Hg W
1 1 2
direct
0.487 0.487 0.533
0.261 0.261 0.263
0.002 0.002 0.957
0.751 0.751 0.748
```

E_form = 0.663 eV/atom
Distance to the lowest polymorph of the same formula = 0.220 eV/atom
Space-group type = Cm, No. 8